No. 1
# PBE AcAg5Sn2, optimized geometry
data_AcAg5Sn2
_chemical_formula_sum 'Ac2 Ag10 Sn4'
_cell_length_a 4.5349
_cell_length_b 7.7305
_cell_length_c 10.7864
_cell_angle_alpha 90.00
_cell_angle_beta 90.00
_cell_angle_gamma 90.00
_symmetry_space_group_name_H-M 'I m m m'
_symmetry_Int_Tables_number 71
_symmetry_space_group_name_Hall '-I 2 2'
loop_
_atom_site_label
_atom_site_type_symbol
_atom_site_fract_x
_atom_site_fract_y
_atom_site_fract_z
Ac1 Ac 0.0000 0.0000 0.0000
Ag1 Ag 0.0000 0.1817 0.3664
Ag2 Ag 0.0000 0.5000 0.0000
Sn1 Sn 0.0000 0.5000 0.2540
# DOS at the Fermi energy: 0.399 states/eV/atom
# Total DFT energy (no corrections): -3.481 eV/atom
# Crystal system: orthorhombic



No. 2
# PBE Ac12AgSn6, optimized geometry
data_Ac12AgSn6
_chemical_formula_sum 'Ac36 Ag3 Sn18'
_cell_length_a 14.6596
_cell_length_b 14.6596
_cell_length_c 13.2997
_cell_angle_alpha 90.00
_cell_angle_beta 90.00
_cell_angle_gamma 120.00
_symmetry_space_group_name_H-M 'R -3'
_symmetry_Int_Tables_number 148
_symmetry_space_group_name_Hall '-R 3'
loop_
_atom_site_label
_atom_site_type_symbol
_atom_site_fract_x
_atom_site_fract_y
_atom_site_fract_z
Ac1 Ac 0.0312 0.2017 0.3898
Ac2 Ac 0.0574 0.2082 0.8840
Ag1 Ag 0.0000 0.0000 0.0000
Sn1 Sn 0.0445 0.2747 0.6435
# DOS at the Fermi energy: 1.431 states/eV/atom
# Total DFT energy (no corrections): -4.345 eV/atom
# Crystal system: trigonal



No. 3
# PBE Ac2Ag2Sn3, optimized geometry
data_Ac2Ag2Sn3
_chemical_formula_sum 'Ac4 Ag4 Sn6'
_cell_length_a 11.4307
_cell_length_b 4.7289
_cell_length_c 7.7602
_cell_angle_alpha 90.00
_cell_angle_beta 109.45
_cell_angle_gamma 90.00
_symmetry_space_group_name_H-M 'C 1 2/m 1'
_symmetry_Int_Tables_number 12
loop_
_symmetry_equiv_pos_as_xyz
'x,y,z'
'-x,-y,-z'
'-x,y,-z'
'x,-y,z'
'x+1/2,y+1/2,z'
'-x+1/2,-y+1/2,-z'
'-x+1/2,y+1/2,-z'
'x+1/2,-y+1/2,z'
loop_
_atom_site_label
_atom_site_type_symbol
_atom_site_fract_x
_atom_site_fract_y
_atom_site_fract_z
Ac1 Ac 0.1469 0.0000 0.2864
Ag1 Ag 0.1550 0.0000 0.7573
Sn1 Sn 0.0000 0.5000 0.5000
Sn2 Sn 0.1088 0.5000 0.9419
# DOS at the Fermi energy: 0.573 states/eV/atom
# Total DFT energy (no corrections): -4.168 eV/atom
# Crystal system: monoclinic



No. 4
# PBE AcAg8Sn3, optimized geometry
data_AcAg8Sn3
_chemical_formula_sum 'Ac1 Ag8 Sn3'
_cell_length_a 5.7636
_cell_length_b 5.7636
_cell_length_c 9.2162
_cell_angle_alpha 90.00
_cell_angle_beta 90.00
_cell_angle_gamma 120.00
_symmetry_space_group_name_H-M 'P 3 m 1'
_symmetry_Int_Tables_number 156
loop_
_symmetry_equiv_pos_as_xyz
'x,y,z'
'-y,x-y,z'
'-x+y,-x,z'
'-y,-x,z'
'-x+y,y,z'
'x,x-y,z'
loop_
_atom_site_label
_atom_site_type_symbol
_atom_site_fract_x
_atom_site_fract_y
_atom_site_fract_z
Ac1 Ac 0.0000 0.0000 0.0000
Ag1 Ag 0.1644 0.3289 0.6743
Ag2 Ag 0.3333 0.6667 0.4310
Ag3 Ag 0.3333 0.6667 0.9291
Ag4 Ag 0.5026 0.0051 0.1876
Sn1 Sn 0.0000 0.0000 0.3896
Sn2 Sn 0.6667 0.3333 0.4745
Sn3 Sn 0.6667 0.3333 0.8447
# DOS at the Fermi energy: 0.215 states/eV/atom
# Total DFT energy (no corrections): -3.327 eV/atom
# Crystal system: trigonal



No. 5
# PBE AcAg2Sn, optimized geometry
data_AcAg2Sn
_chemical_formula_sum 'Ac4 Ag8 Sn4'
_cell_length_a 9.6101
_cell_length_b 7.3007
_cell_length_c 5.9743
_cell_angle_alpha 90.00
_cell_angle_beta 90.00
_cell_angle_gamma 90.00
_symmetry_space_group_name_H-M 'P n m a'
_symmetry_Int_Tables_number 62
loop_
_symmetry_equiv_pos_as_xyz
'x,y,z'
'-x,-y,-z'
'-x+1/2,-y,z+1/2'
'x+1/2,y,-z+1/2'
'x+1/2,-y+1/2,-z+1/2'
'-x+1/2,y+1/2,z+1/2'
'-x,y+1/2,-z'
'x,-y+1/2,z'
loop_
_atom_site_label
_atom_site_type_symbol
_atom_site_fract_x
_atom_site_fract_y
_atom_site_fract_z
Ac1 Ac 0.0718 0.2500 0.1558
Ag1 Ag 0.1740 0.0447 0.6441
Sn1 Sn 0.1034 0.7500 0.3369
# DOS at the Fermi energy: 0.421 states/eV/atom
# Total DFT energy (no corrections): -3.806 eV/atom
# Crystal system: orthorhombic



No. 6
# PBE Ac2Ag3Sn, optimized geometry
data_Ac2Ag3Sn
_chemical_formula_sum 'Ac4 Ag6 Sn2'
_cell_length_a 4.3217
_cell_length_b 4.6384
_cell_length_c 17.4948
_cell_angle_alpha 90.00
_cell_angle_beta 90.00
_cell_angle_gamma 90.00
_symmetry_space_group_name_H-M 'I m m 2'
_symmetry_Int_Tables_number 44
loop_
_symmetry_equiv_pos_as_xyz
'x,y,z'
'-x,-y,z'
'-x,y,z'
'x,-y,z'
'x+1/2,y+1/2,z+1/2'
'-x+1/2,-y+1/2,z+1/2'
'-x+1/2,y+1/2,z+1/2'
'x+1/2,-y+1/2,z+1/2'
loop_
_atom_site_label
_atom_site_type_symbol
_atom_site_fract_x
_atom_site_fract_y
_atom_site_fract_z
Ac1 Ac 0.0000 0.0000 0.0000
Ac2 Ac 0.0000 0.5000 0.2534
Ag1 Ag 0.0000 0.0000 0.4244
Ag2 Ag 0.0000 0.5000 0.6702
Ag3 Ag 0.0000 0.5000 0.8281
Sn1 Sn 0.0000 0.0000 0.5869
# DOS at the Fermi energy: 0.672 states/eV/atom
# Total DFT energy (no corrections): -3.830 eV/atom
# Crystal system: orthorhombic